CrP2IO after structural relaxation, computed with GGA+U.

abc: 5.178 5.178 3.920
angles: 90.00 90.00 90.00
Sites, in units of the cell vectors:
Cr 0.000 0.000 0.000
P 0.000 0.500 0.500
P 0.500 0.000 0.500
I 0.500 0.500 0.500
O 0.500 0.500 0.000

Properties
magnetization	3.4	Bohr magnetons per cell
electronic total energy	-20.3	eV per formula unit
space group	No. 123
offset from the most stable computed form	524.5	meV/atom
crystal system	tetragonal